[1]
TaInTc2 | PBE | relaxed

```
TaInTc2
1.0
-2.272 -1.744 -0.372
1.271 0.704 -2.496
5.327 -7.090 0.714
Tc In Ta
2 1 1
Cartesian
5.251 -6.988 0.704
2.740 -3.647 0.367
0.831 -2.293 -1.256
3.495 -5.838 -0.899
```

Final energy, eV/cell: -34.9
Formation energy, meV per atom: 106
Crystal system: orthorhombic

---

[2]
TaInTc2 | PBE | relaxed

```
TaInTc2
1.0
-1.671 -2.407 -2.914
2.569 -0.188 -1.318
2.751 -4.732 2.333
In Tc Ta
1 2 1
Cartesian
0.494 -2.434 -1.203
2.884 -2.528 0.435
5.096 -4.853 1.087
3.154 -4.894 -0.696
```

Final energy, eV/cell: -34.8
Formation energy, meV per atom: 140
Crystal system: monoclinic

---

[3]
Ta2InTc2 | PBE | relaxed

```
Ta2InTc2
1.0
7.572 0.000 0.000
0.000 7.572 0.000
0.000 0.000 3.137
In Ta Tc
2 4 4
Cartesian
3.786 3.786 0.000
0.000 0.000 0.000
1.144 4.930 1.569
6.427 2.642 1.569
2.642 1.144 1.569
4.930 6.427 1.569
4.867 1.081 0.000
6.490 4.867 0.000
2.705 6.490 0.000
1.081 2.705 0.000
```

Final energy, eV/cell: -93.2
Formation energy, meV per atom: 116
Crystal system: tetragonal

---

[4]
TaInTc2 | PBE | relaxed

```
TaInTc2
1.0
-1.445 -2.056 -1.593
2.604 0.492 -2.998
3.349 -4.089 2.238
In Tc Ta
1 2 1
Cartesian
1.641 -2.004 1.097
0.015 -0.019 0.010
1.321 -1.686 -1.800
3.205 -3.988 -0.540
```

Final energy, eV/cell: -34.9
Formation energy, meV per atom: 112
Crystal system: orthorhombic

---

[5]
TaInTc2 | PBE | relaxed

```
TaInTc2
1.0
3.232 0.000 0.000
0.000 3.232 0.000
0.000 0.000 6.463
In Tc Ta
1 2 1
Cartesian
1.616 1.616 1.616
0.000 0.000 6.355
0.000 0.000 3.339
1.616 1.616 4.847
```

Final energy, eV/cell: -35.6
Formation energy, meV per atom: -57
Crystal system: tetragonal

---

[6]
TaInTc2 | PBE | relaxed

```
TaInTc2
1.0
-2.196 -3.853 0.753
3.451 -1.487 2.472
-1.367 1.305 2.693
Tc Ta In
2 1 1
Cartesian
0.000 0.000 0.000
0.628 -2.670 1.612
1.042 -0.091 2.583
-1.781 -1.274 1.723
```

Final energy, eV/cell: -35.4
Formation energy, meV per atom: -8
Crystal system: tetragonal

---

[7]
TaInTc2 | PBE | relaxed

```
TaInTc2
1.0
-6.817 -1.737 -1.898
2.389 -2.280 -6.495
-1.843 -4.612 -3.146
In Tc Ta
2 4 2
Cartesian
-2.214 -2.009 -4.196
-0.834 -4.451 -6.919
0.411 -2.737 -5.019
-3.124 -4.888 -5.287
-4.654 -2.583 -2.849
-5.176 -7.052 -9.923
-5.437 -4.179 -4.620
0.000 0.000 0.000
```

Final energy, eV/cell: -64.8
Formation energy, meV per atom: 732
Crystal system: tetragonal

---

[8]
TaInTc2 | PBE | relaxed

```
TaInTc2
1.0
-1.670 -2.777 9.035
-0.134 -5.061 8.155
1.217 -2.699 9.131
Ta Tc In
1 2 1
Cartesian
-0.149 -2.676 6.684
-0.437 -7.842 19.589
-0.003 -0.059 0.148
-0.291 -5.229 13.062
```

Final energy, eV/cell: -34.4
Formation energy, meV per atom: 220
Crystal system: trigonal

---

- Which value of formation energy does entry 6 give?
  -8 meV per atom

---

- What is the formula in the third record?
  Ta2InTc2